PBE HfTa2Al2, optimized geometry; offset from the most stable computed form = 0.000 eV per atom; space group = P4/mbm (127); energy of formation from the pure elements = -0.25 eV per atom; total DFT energy (no corrections) = -84.8 eV per cell; total moment = 0.00 Bohr magnetons per cell
1.0
7.196 0.000 0.000
0.000 7.196 0.000
0.000 0.000 3.443
Al Ta Hf
4 4 2
Direct
0.623 0.123 0.000 Al
0.877 0.623 0.000 Al
0.123 0.377 0.000 Al
0.377 0.877 0.000 Al
0.826 0.326 0.500 Ta
0.326 0.174 0.500 Ta
0.674 0.826 0.500 Ta
0.174 0.674 0.500 Ta
0.500 0.500 0.000 Hf
0.000 0.000 0.000 Hf

=====

PBE Tb3SbIr, optimized geometry; space group = P2_1/m (11); total DFT energy (no corrections) = -61.9 eV per cell; total moment = 0.00 Bohr magnetons per cell
1.0
-0.435 -2.187 -3.714
1.575 -6.826 3.835
-8.293 1.501 0.088
Ir Tb Sb
2 6 2
Direct
0.750 0.083 0.608 Ir
0.250 0.917 0.392 Ir
0.750 0.324 0.931 Tb
0.750 0.676 0.407 Tb
0.250 0.940 0.746 Tb
0.250 0.324 0.593 Tb
0.750 0.060 0.254 Tb
0.250 0.676 0.069 Tb
0.250 0.352 0.216 Sb
0.750 0.648 0.784 Sb

=====

PBE KBaSn, optimized geometry; offset from the most stable computed form = 0.001 eV per atom; space group = P3m1 (156); energy of formation from the pure elements = -0.23 eV per atom; total DFT energy (no corrections) = -7.7 eV per cell; total moment = 0.00 Bohr magnetons per cell
1.0
3.889 0.000 0.000
0.000 5.868 0.000
0.000 -2.934 5.082
K Sn Ba
1 1 1
Direct
0.017 0.000 0.000 K
0.697 0.667 0.333 Sn
0.286 0.333 0.667 Ba

=====

PBE FeCo2P, optimized geometry; space group = Pmmm (47); energy of formation from the pure elements = -0.08 eV per atom; total DFT energy (no corrections) = -28.4 eV per cell; total moment = 4.41 Bohr magnetons per cell
1.0
2.849 0.000 0.000
0.000 3.907 0.000
0.000 0.000 3.899
Co Fe P
2 1 1
Direct
0.500 0.500 0.000 Co
0.000 0.000 0.000 Co
0.500 0.000 0.500 Fe
0.000 0.500 0.500 P

=====

PBE Li2Be2PO6, optimized geometry; space group = P-31m (162); total DFT energy (no corrections) = -68.2 eV per cell; total moment = 1.06 Bohr magnetons per cell
1.0
-1.597 -1.049 -4.110
1.257 -3.292 2.850
-4.445 -0.166 1.769
O Be P Li
6 2 1 2
Direct
0.317 0.000 0.197 O
0.000 0.316 0.197 O
0.684 0.683 0.197 O
0.683 0.000 0.803 O
0.316 0.317 0.803 O
0.000 0.684 0.803 O
0.667 0.333 0.000 Be
0.333 0.667 0.000 Be
0.000 0.000 0.000 P
0.667 0.333 0.500 Li
0.333 0.667 0.500 Li

=====

PBE SrLiP2, optimized geometry; offset from the most stable computed form = 0.329 eV per atom; space group = I4/mmm (139); energy of formation from the pure elements = -0.40 eV per atom; total DFT energy (no corrections) = -16.0 eV per cell; total moment = 0.00 Bohr magnetons per cell
1.0
5.207 -0.001 -0.001
1.442 5.004 0.001
-3.320 -2.507 3.131
Li Sr P
1 1 2
Direct
0.250 0.750 0.500 Li
0.750 0.250 0.500 Sr
0.000 0.000 0.000 P
0.500 0.500 0.000 P

=====

PBE SrTb2N, optimized geometry; space group = R-3m (166); total DFT energy (no corrections) = -21.7 eV per cell; total moment = 0.16 Bohr magnetons per cell
1.0
3.573 0.000 0.000
1.786 3.094 0.000
1.786 1.031 9.774
Tb Sr N
2 1 1
Direct
0.878 0.878 0.366 Tb
0.122 0.122 0.634 Tb
0.000 0.000 0.000 Sr
0.500 0.500 0.500 N

=====

PBE BAsPb2S5, optimized geometry; space group = Cmc2_1 (36); total DFT energy (no corrections) = -84.1 eV per cell; total moment = 0.00 Bohr magnetons per cell
1.0
-2.057 3.024 0.338
-4.957 -6.039 3.892
5.562 2.550 11.042
S Pb As B
10 4 2 2
Direct
0.330 0.660 0.016 S
0.305 0.610 0.675 S
0.670 0.340 0.516 S
0.505 0.010 0.780 S
0.695 0.390 0.175 S
0.027 0.053 0.992 S
0.668 0.336 0.890 S
0.332 0.664 0.390 S
0.973 0.947 0.492 S
0.495 0.990 0.280 S
0.886 0.773 0.840 Pb
0.865 0.730 0.185 Pb
0.135 0.270 0.685 Pb
0.114 0.227 0.340 Pb
0.191 0.382 0.036 As
0.809 0.618 0.536 As
0.442 0.884 0.410 B
0.558 0.116 0.910 B

=====

PBE SrCuIr, optimized geometry; offset from the most stable computed form = 0.576 eV per atom; space group = F-43m (216); energy of formation from the pure elements = 0.41 eV per atom; total DFT energy (no corrections) = -13.4 eV per cell; total moment = 0.00 Bohr magnetons per cell
1.0
-0.726 0.293 4.480
0.002 -3.763 2.554
3.408 -0.771 2.911
Sr Ir Cu
1 1 1
Direct
0.500 0.500 0.500 Sr
0.000 0.000 0.000 Ir
0.750 0.750 0.750 Cu

=====

PBE AlCd2Tc, optimized geometry; space group = R-3m (166); energy of formation from the pure elements = 0.35 eV per atom; total DFT energy (no corrections) = -14.5 eV per cell; total moment = 0.88 Bohr magnetons per cell
1.0
-1.228 -9.170 -2.767
0.952 -9.578 -0.782
-1.882 -9.471 0.120
Tc Cd Al
1 2 1
Direct
0.250 0.250 0.250 Tc
0.502 0.502 0.502 Cd
0.998 0.998 0.998 Cd
0.750 0.750 0.750 Al

=====

PBE NpZnCu, optimized geometry; space group = P-6m2 (187); energy of formation from the pure elements = 0.05 eV per atom; total DFT energy (no corrections) = -18.2 eV per cell; total moment = 4.05 Bohr magnetons per cell
1.0
-0.133 -1.806 -2.094
4.056 -1.867 1.352
-4.015 -1.667 1.693
Cu Zn Np
1 1 1
Direct
0.167 0.667 0.333 Cu
0.166 0.000 0.000 Zn
0.667 0.333 0.667 Np

=====

PBE TcBS2, optimized geometry; space group = I-42d (122); total DFT energy (no corrections) = -50.4 eV per cell; total moment = 0.00 Bohr magnetons per cell
1.0
5.045 0.000 0.000
0.000 5.045 0.000
2.523 2.523 4.474
S Tc B
4 2 2
Direct
0.875 0.817 0.750 S
0.183 0.625 0.250 S
0.567 0.125 0.250 S
0.375 0.433 0.750 S
0.750 0.250 0.500 Tc
0.000 0.000 0.000 Tc
0.250 0.750 0.500 B
0.500 0.500 0.000 B